(a)
Below is a relaxed structure of DyPaTcRu, with properties calculated at the GGA-PBE level.

abc: 6.8541 6.8541 6.8541
angles: 90.00 90.00 90.00
With the nearest neighbours (Å) after each atom.
Space group F-43m (No. 216)
Symmetry-distinct sites (fractional):
Dy 0.0000 0.0000 0.0000 (multiplicity 4)  4 Tc 2.97, 4 Ru 2.97
Pa 0.0000 0.0000 0.5000 (multiplicity 4)  4 Ru 2.97, 4 Tc 2.97
Tc 0.2500 0.2500 0.2500 (multiplicity 4)  4 Dy 2.97, 4 Pa 2.97
Ru 0.2500 0.2500 0.7500 (multiplicity 4)  4 Dy 2.97, 4 Pa 2.97

Output
- Calculated volume: 322.0 Å³/cell
- DOS at the Fermi energy: 14.456 states/eV/cell

***

(b)
Below is a relaxed structure of DyPaTcRu, with properties calculated at the GGA-PBE level.

abc: 3.4309 3.4309 6.9109
angles: 90.00 90.00 90.00
With the nearest neighbours (Å) after each atom.
Space group P4mm (No. 99)
Symmetry-distinct sites (fractional):
Dy 0.0000 0.0000 0.0000 (multiplicity 1)  4 Ru 3.10, 4 Tc 3.12, 4 Dy 3.43, 2 Pa 3.45-3.46
Pa 0.0000 0.0000 0.5003 (multiplicity 1)  4 Tc 2.85, 4 Ru 2.86
Tc 0.5000 0.5000 0.2830 (multiplicity 1)  4 Pa 2.85, 1 Ru 3.02, 4 Dy 3.12
Ru 0.5000 0.5000 0.7197 (multiplicity 1)  4 Pa 2.86, 1 Tc 3.02, 4 Dy 3.10

Output
- Calculated volume: 81.3 Å³/cell
- DOS at the Fermi energy: 2.122 states/eV/cell

***

Referenced to the most stable arrangement, the calculated values in meV/atom are (a) 90; (b) 0.

***

(a)
Below is a relaxed structure of DyPaS2, with properties calculated at the GGA-PBE level.

abc: 3.6753 3.6753 21.6879
angles: 90.00 90.00 120.00
With the nearest neighbours (Å) after each atom.
Space group R3m (No. 160, hexagonal axes)
Symmetry-distinct sites (fractional):
Dy 0.0000 0.0000 0.0000 (multiplicity 3)  6 S 2.72-2.81
Pa 0.0000 0.0000 0.1723 (multiplicity 3)  6 S 2.77-2.85
S 0.0000 0.0000 0.5880 (multiplicity 3)  3 Dy 2.72, 3 Pa 2.77
S 0.0000 0.0000 0.7514 (multiplicity 3)  3 Dy 2.81, 3 Pa 2.85

Output
- Calculated volume: 253.7 Å³/cell
- DOS at the Fermi energy: 12.362 states/eV/cell

***

(b)
Below is a relaxed structure of DyPaS2, with properties calculated at the GGA-PBE level.

abc: 3.7914 3.7914 20.1649
angles: 90.00 90.00 120.00
With the nearest neighbours (Å) after each atom.
Space group R-3m (No. 166, hexagonal axes)
Symmetry-distinct sites (fractional):
Dy 0.0000 0.0000 0.0000 (multiplicity 3)  6 S 2.73
Pa 0.0000 0.0000 0.5000 (multiplicity 3)  6 S 2.79
S 0.0000 0.0000 0.2522 (multiplicity 6)  3 Dy 2.73, 3 Pa 2.79

Output
- Calculated volume: 251.0 Å³/cell
- DOS at the Fermi energy: 12.882 states/eV/cell

***

Referenced to the most stable arrangement, the calculated values in meV/atom are (a) 107; (b) 0.

***

(a)
Below is a relaxed structure of DyPaS4, with properties calculated at the GGA-PBE level.

abc: 8.7740 8.9377 4.1473
angles: 90.00 90.00 90.00
With the nearest neighbours (Å) after each atom.
Space group Cmmm (No. 65)
Symmetry-distinct sites (fractional):
Dy 0.0000 0.0000 0.0000 (multiplicity 2)  6 S 2.72-2.79
Pa 0.0000 0.5000 0.5000 (multiplicity 2)  6 S 2.62-2.67
S 0.0000 0.3120 0.0000 (multiplicity 4)  2 Pa 2.67, 1 Dy 2.79
S 0.2015 0.0000 0.5000 (multiplicity 4)  1 Pa 2.62, 2 Dy 2.72

Output
- Calculated volume: 325.2 Å³/cell

***

(b)
Below is a relaxed structure of DyPaS4, with properties calculated at the GGA-PBE level.

abc: 6.8962 4.0733 6.9125
angles: 90.00 108.44 90.00
With the nearest neighbours (Å) after each atom.
Space group P2/m (No. 10)
Symmetry-distinct sites (fractional):
Dy 0.0000 0.0000 0.0000 (multiplicity 1)  6 S 2.74-2.76
Pa 0.0000 0.5000 0.5000 (multiplicity 1)  6 S 2.61-2.68
S 0.2087 0.5000 0.2442 (multiplicity 2)  1 Pa 2.61, 2 Dy 2.74
S 0.2120 0.0000 0.7211 (multiplicity 2)  2 Pa 2.68, 1 Dy 2.76

Output
- Calculated volume: 184.2 Å³/cell
- DOS at the Fermi energy: 0.000 states/eV/cell

***

Referenced to the most stable arrangement, the calculated values in meV/atom are (a) 59; (b) 0.

***

(a)
Below is a relaxed structure of DyPaSb, with properties calculated at the GGA-PBE level.

abc: 3.8819 3.8819 10.5105
angles: 90.00 90.00 90.00
With the nearest neighbours (Å) after each atom.
Space group P4/nmm (No. 129, origin choice 2)
Symmetry-distinct sites (fractional):
Dy 0.2500 0.2500 0.0997 (multiplicity 2)  4 Sb 3.20, 4 Dy 3.45
Pa 0.2500 0.2500 0.4439 (multiplicity 2)  4 Pa 2.99, 1 Sb 3.15
Sb 0.2500 0.2500 0.7440 (multiplicity 2)  5 Pa 3.15-3.38, 4 Dy 3.20

Output
- Calculated volume: 158.4 Å³/cell
- DOS at the Fermi energy: 10.393 states/eV/cell

***

(b)
Below is a relaxed structure of DyPaSb, with properties calculated at the GGA-PBE level.

abc: 5.2764 5.2764 3.4347
angles: 90.00 90.00 120.00
With the nearest neighbours (Å) after each atom.
Space group P3m1 (No. 156)
Symmetry-distinct sites (fractional):
Dy 0.0000 0.0000 0.0000 (multiplicity 1)  3 Sb 3.13, 2 Dy 3.43, 3 Pa 3.46
Pa 0.3333 0.6667 0.4785 (multiplicity 1)  3 Sb 3.23, 2 Pa 3.43, 6 Dy 3.46-3.53
Sb 0.6667 0.3333 0.7917 (multiplicity 1)  3 Dy 3.13, 3 Pa 3.23, 2 Sb 3.43

Output
- Calculated volume: 82.8 Å³/cell
- DOS at the Fermi energy: 5.741 states/eV/cell

***

Referenced to the most stable arrangement, the calculated values in meV/atom are (a) 0; (b) 331.

***

(a)
Below is a relaxed structure of Dy2PaSb, with properties calculated at the GGA-PBE level.

abc: 4.8228 4.8228 4.5176
angles: 90.00 90.00 90.00
With the nearest neighbours (Å) after each atom.
Space group P4/mmm (No. 123)
Symmetry-distinct sites (fractional):
Dy 0.0000 0.5000 0.0000 (multiplicity 2)  4 Pa 3.30, 4 Sb 3.30, 4 Dy 3.41
Pa 0.0000 0.0000 0.5000 (multiplicity 1)  8 Dy 3.30, 4 Sb 3.41
Sb 0.5000 0.5000 0.5000 (multiplicity 1)  8 Dy 3.30, 4 Pa 3.41

Output
- Calculated volume: 105.1 Å³/cell
- DOS at the Fermi energy: 6.059 states/eV/cell

***

(b)
Below is a relaxed structure of Dy2PaSb, with properties calculated at the GGA-PBE level.

abc: 3.8536 3.8536 7.2836
angles: 90.00 90.00 90.00
With the nearest neighbours (Å) after each atom.
Space group P4/mmm (No. 123)
Symmetry-distinct sites (fractional):
Dy 0.0000 0.0000 0.2277 (multiplicity 2)  4 Sb 3.19, 1 Dy 3.32, 4 Pa 3.37
Pa 0.5000 0.5000 0.5000 (multiplicity 1)  8 Dy 3.37, 2 Sb 3.64
Sb 0.5000 0.5000 0.0000 (multiplicity 1)  8 Dy 3.19

Output
- Calculated volume: 108.2 Å³/cell
- DOS at the Fermi energy: 3.657 states/eV/cell

***

Referenced to the most stable arrangement, the calculated values in meV/atom are (a) 28; (b) 0.

***

(a)
Below is a relaxed structure of Dy2ScPa, with properties calculated at the GGA-PBE level.

abc: 3.2732 3.2732 35.7112
angles: 90.00 90.00 120.00
With the nearest neighbours (Å) after each atom.
Space group R-3m (No. 166, hexagonal axes)
Symmetry-distinct sites (fractional):
Dy 0.0000 0.0000 0.0895 (multiplicity 6)  1 Pa 3.19, 6 Dy 3.27, 3 Sc 3.34
Sc 0.0000 0.0000 0.5000 (multiplicity 3)  6 Sc 3.27, 6 Dy 3.34
Pa 0.0000 0.0000 0.0000 (multiplicity 3)  2 Dy 3.19, 6 Pa 3.27

Output
- Calculated volume: 331.3 Å³/cell
- DOS at the Fermi energy: 19.561 states/eV/cell

***

(b)
Below is a relaxed structure of Dy2ScPa, with properties calculated at the GGA-PBE level.

abc: 3.3689 3.3689 33.6630
angles: 90.00 90.00 120.00
With the nearest neighbours (Å) after each atom.
Space group R3m (No. 160, hexagonal axes)
Symmetry-distinct sites (fractional):
Dy 0.0000 0.0000 0.0000 (multiplicity 3)  6 Dy 3.37, 3 Pa 3.40, 3 Sc 3.40
Dy 0.0000 0.0000 0.1670 (multiplicity 3)  6 Dy 3.37, 3 Sc 3.41, 3 Pa 3.43
Sc 0.0000 0.0000 0.5837 (multiplicity 3)  6 Sc 3.37, 6 Dy 3.40-3.41
Pa 0.0000 0.0000 0.7496 (multiplicity 3)  6 Pa 3.37, 6 Dy 3.40-3.43

Output
- Calculated volume: 330.9 Å³/cell
- DOS at the Fermi energy: 19.334 states/eV/cell

***

Referenced to the most stable arrangement, the calculated values in meV/atom are (a) 142; (b) 0.